Compound: ZnW2O
Source: Alexandria via LeMat-Bulk
Functional: PBE+U
Structure: optimized geometry

a b c (Å): 5.799 5.799 6.172
angles (deg): 61.98 61.98 90.00
Each line ends with the local moment (μB).
Atoms (fractional coordinates):
W  0.875  0.793  0.750  2.49
O  0.500  0.500  0.000  -0.02
Zn  0.000  0.000  0.000  0.01
Zn  0.750  0.250  0.500  0.01
W  0.207  0.625  0.250  2.48
O  0.250  0.750  0.500  -0.02
W  0.543  0.125  0.250  2.48
W  0.375  0.457  0.750  2.49

- distance to the lowest polymorph of the same formula (meV per atom) = 0
- DOS at the Fermi energy (states/eV/f.u.) = 1.535